Arrangement i

The following is a DFT calculation (GGA-PBE) of a geometry-optimized Ce2PC structure.

Geometry as POSCAR:
```
Ce2PC
1.0
1.8836 1.0875 6.6121
-1.8836 1.0875 6.6121
0.0000 -2.1750 6.6121
Ce P C
2 1 1
Direct
0.0000 0.0000 0.0000 Ce
0.1462 0.1462 0.1462 Ce
0.5728 0.5728 0.5728 P
0.7444 0.7444 0.7444 C
```

Its total moment is 0.23 μB/atom. For the density of states at the Fermi level, the calculation gives 5.96 states/eV per cell. Its volume is 20.32 Å³/atom.



Arrangement ii

The following is a DFT calculation (GGA-PBE) of a geometry-optimized Ce2PC structure.

Geometry as POSCAR:
```
Ce2PC
1.0
2.1570 1.2453 7.2184
-2.1570 1.2453 7.2184
0.0000 -2.4907 7.2184
Ce P C
2 1 1
Direct
0.0948 0.0948 0.0948 Ce
0.9052 0.9052 0.9052 Ce
0.5000 0.5000 0.5000 P
0.0000 0.0000 0.0000 C
```

Its total moment is 0.24 μB/atom. For the density of states at the Fermi level, the calculation gives 4.86 states/eV per cell. Its volume is 29.08 Å³/atom.



Arrangement iii

The following is a DFT calculation (GGA-PBE) of a geometry-optimized Ce2PC structure.

Geometry as POSCAR:
```
Ce2PC
1.0
5.6325 0.0000 0.0000
0.0000 5.6397 0.0000
-5.4801 0.0000 10.6736
Ce P C
8 4 4
Direct
0.0986 0.2431 0.1048 Ce
0.0986 0.7569 0.6048 Ce
0.3434 0.2379 0.8550 Ce
0.3434 0.7621 0.3550 Ce
0.6566 0.2379 0.6450 Ce
0.6566 0.7621 0.1450 Ce
0.9014 0.2431 0.3952 Ce
0.9014 0.7569 0.8952 Ce
0.3820 0.2616 0.3749 P
0.3820 0.7384 0.8749 P
0.6180 0.2616 0.1251 P
0.6180 0.7384 0.6251 P
0.0778 0.1975 0.6248 C
0.0778 0.8025 0.1248 C
0.9222 0.1975 0.8752 C
0.9222 0.8025 0.3752 C
```

Its total moment is 0.12 μB/atom. For the density of states at the Fermi level, the calculation gives 21.54 states/eV per cell. Its volume is 21.19 Å³/atom.



Name the least stable of them. arrangement ii.



Arrangement i

The following is a DFT calculation (GGA-PBE) of a geometry-optimized CePaC structure.

Geometry as POSCAR:
```
CePaC
1.0
0.0000 3.0088 3.0088
3.0088 0.0000 3.0088
3.0088 3.0088 0.0000
Ce Pa C
1 1 1
Direct
0.0000 0.0000 0.0000 Ce
0.5000 0.5000 0.5000 Pa
0.7500 0.7500 0.7500 C
```

Its total moment is 0.00 μB/atom. For the density of states at the Fermi level, the calculation gives 4.88 states/eV per cell. Its volume is 18.16 Å³/atom.



Arrangement ii

The following is a DFT calculation (GGA-PBE) of a geometry-optimized CePaC structure.

Geometry as POSCAR:
```
CePaC
1.0
3.5531 0.0000 0.0000
-1.7766 3.0771 0.0000
0.0000 0.0000 4.9797
Ce Pa C
1 1 1
Direct
0.0000 0.0000 0.0000 Ce
0.3333 0.6667 0.5927 Pa
0.6667 0.3333 0.3208 C
```

Its total moment is 0.00 μB/atom. For the density of states at the Fermi level, the calculation gives 4.50 states/eV per cell. Its volume is 18.15 Å³/atom.



Arrangement iii

The following is a DFT calculation (GGA-PBE) of a geometry-optimized CePaC structure.

Geometry as POSCAR:
```
CePaC
1.0
-1.5510 1.5510 5.9576
1.5510 -1.5510 5.9576
1.5510 1.5510 -5.9576
Ce Pa C
1 1 1
Direct
0.0000 0.0000 0.0000 Ce
0.2403 0.2403 0.0000 Pa
0.6396 0.6396 0.0000 C
```

Its total moment is 0.00 μB/atom. For the density of states at the Fermi level, the calculation gives 5.52 states/eV per cell. Its volume is 19.11 Å³/atom.



Name the least stable of them. arrangement i.



Arrangement i

The following is a DFT calculation (GGA-PBE) of a geometry-optimized CePa2C3 structure.

Geometry as POSCAR:
```
CePa2C3
1.0
1.9144 -8.8654 0.0000
1.9144 8.8654 0.0000
0.0000 0.0000 8.0778
Ce Pa C
2 4 6
Direct
0.1549 0.8451 0.7500 Ce
0.8451 0.1549 0.2500 Ce
0.1332 0.8668 0.2500 Pa
0.5000 0.5000 0.0000 Pa
0.5000 0.5000 0.5000 Pa
0.8668 0.1332 0.7500 Pa
0.0866 0.9134 0.5165 C
0.0866 0.9134 0.9835 C
0.4337 0.5663 0.7500 C
0.5663 0.4337 0.2500 C
0.9134 0.0866 0.0165 C
0.9134 0.0866 0.4835 C
```

Its total moment is 0.20 μB/atom. For the density of states at the Fermi level, the calculation gives 10.85 states/eV per cell. Its volume is 22.85 Å³/atom.



Arrangement ii

The following is a DFT calculation (GGA-PBE) of a geometry-optimized CePa2C3 structure.

Geometry as POSCAR:
```
CePa2C3
1.0
-1.8112 2.5562 5.4460
1.8112 -2.5562 5.4460
1.8112 2.5562 -5.4460
Ce Pa C
1 2 3
Direct
0.0000 0.0000 0.0000 Ce
0.3337 0.3337 0.0000 Pa
0.6663 0.6663 0.0000 Pa
0.1804 0.6804 0.5000 C
0.5000 0.0000 0.5000 C
0.8196 0.3196 0.5000 C
```

Its total moment is 0.00 μB/atom. For the density of states at the Fermi level, the calculation gives 5.56 states/eV per cell. Its volume is 16.81 Å³/atom.



Name the least stable of them. arrangement i.



Arrangement i

The following is a DFT calculation (GGA-PBE) of a geometry-optimized Ce3PbC structure.

Geometry as POSCAR:
```
Ce3PbC
1.0
4.9999 0.0000 0.0000
0.0000 4.9999 0.0000
0.0000 0.0000 4.9999
Ce Pb C
3 1 1
Direct
0.0000 0.0000 0.5000 Ce
0.0000 0.5000 0.0000 Ce
0.5000 0.0000 0.0000 Ce
0.5000 0.5000 0.5000 Pb
0.0000 0.0000 0.0000 C
```

Its total moment is 0.43 μB/atom. For the density of states at the Fermi level, the calculation gives 9.47 states/eV per cell. Its volume is 25.00 Å³/atom.



Arrangement ii

The following is a DFT calculation (GGA-PBE) of a geometry-optimized Ce3PbC structure.

Geometry as POSCAR:
```
Ce3PbC
1.0
5.9528 0.0000 0.0000
0.0000 5.9528 0.0000
0.0000 0.0000 5.9528
Ce Pb C
3 1 1
Direct
0.0000 0.0000 0.5000 Ce
0.0000 0.5000 0.0000 Ce
0.5000 0.0000 0.0000 Ce
0.0000 0.0000 0.0000 Pb
0.5000 0.5000 0.5000 C
```

Its total moment is 0.79 μB/atom. For the density of states at the Fermi level, the calculation gives 26.26 states/eV per cell. Its volume is 42.19 Å³/atom.



Name the least stable of them. arrangement ii.



Arrangement i

The following is a DFT calculation (GGA-PBE) of a geometry-optimized Ce2PdC structure.

Geometry as POSCAR:
```
Ce2PdC
1.0
1.6863 0.9736 8.3693
-1.6863 0.9736 8.3693
0.0000 -1.9472 8.3693
Ce Pd C
2 1 1
Direct
0.1075 0.1075 0.1075 Ce
0.8925 0.8925 0.8925 Ce
0.0000 0.0000 0.0000 Pd
0.5000 0.5000 0.5000 C
```

Its total moment is 0.15 μB/atom. For the density of states at the Fermi level, the calculation gives 6.07 states/eV per cell. Its volume is 20.61 Å³/atom.



Arrangement ii

The following is a DFT calculation (GGA-PBE) of a geometry-optimized Ce2PdC structure.

Geometry as POSCAR:
```
Ce2PdC
1.0
3.2488 0.0000 0.0000
0.0000 3.2488 0.0000
0.0000 0.0000 6.9454
Ce Pd C
2 1 1
Direct
0.0000 0.0000 0.1966 Ce
0.0000 0.0000 0.8034 Ce
0.5000 0.5000 0.5000 Pd
0.5000 0.5000 0.0000 C
```

Its total moment is 0.23 μB/atom. For the density of states at the Fermi level, the calculation gives 6.98 states/eV per cell. Its volume is 18.33 Å³/atom.



Name the least stable of them. arrangement i.



Arrangement i

The following is a DFT calculation (GGA-PBE) of a geometry-optimized CePmC structure.

Geometry as POSCAR:
```
CePmC
1.0
3.1199 -1.8015 0.0000
3.1199 1.8015 0.0000
-2.0620 0.0000 6.5273
Ce Pm C
1 1 1
Direct
0.0000 0.0000 0.0000 Ce
0.4759 0.4759 0.4323 Pm
0.7335 0.7335 0.2025 C
```

Its total moment is 0.28 μB/atom. For the density of states at the Fermi level, the calculation gives 5.05 states/eV per cell. Its volume is 24.46 Å³/atom.



Arrangement ii

The following is a DFT calculation (GGA-PBE) of a geometry-optimized CePmC structure.

Geometry as POSCAR:
```
CePmC
1.0
0.0000 3.1194 3.1194
3.1194 0.0000 3.1194
3.1194 3.1194 0.0000
Ce Pm C
1 1 1
Direct
0.0000 0.0000 0.0000 Ce
0.5000 0.5000 0.5000 Pm
0.2500 0.2500 0.2500 C
```

Its total moment is 0.00 μB/atom. For the density of states at the Fermi level, the calculation gives 3.66 states/eV per cell. Its volume is 20.24 Å³/atom.



Name the least stable of them. arrangement ii.



Arrangement i

The following is a DFT calculation (GGA-PBE) of a geometry-optimized CePmC2 structure.

Geometry as POSCAR:
```
CePmC2
1.0
1.8455 1.0655 6.0061
-1.8455 1.0655 6.0061
0.0000 -2.1310 6.0061
Ce Pm C
1 1 2
Direct
0.0000 0.0000 0.0000 Ce
0.5000 0.5000 0.5000 Pm
0.2560 0.2560 0.2560 C
0.7440 0.7440 0.7440 C
```

Its total moment is 0.00 μB/atom. For the density of states at the Fermi level, the calculation gives 6.43 states/eV per cell. Its volume is 17.71 Å³/atom.



Arrangement ii

The following is a DFT calculation (GGA-PBE) of a geometry-optimized CePmC2 structure.

Geometry as POSCAR:
```
CePmC2
1.0
4.1899 0.0000 0.0000
0.0000 2.8543 3.3995
0.0000 -2.8543 3.3995
Ce Pm C
1 1 2
Direct
0.0000 0.0000 0.0000 Ce
0.5000 0.5343 0.5343 Pm
0.0000 0.2217 0.4704 C
0.0000 0.4704 0.2217 C
```

Its total moment is 0.00 μB/atom. For the density of states at the Fermi level, the calculation gives 3.67 states/eV per cell. Its volume is 20.33 Å³/atom.



Name the least stable of them. arrangement i.



Arrangement i

The following is a DFT calculation (GGA-PBE) of a geometry-optimized CePrC structure.

Geometry as POSCAR:
```
CePrC
1.0
3.5552 0.0000 0.0000
0.0000 1.6628 5.8997
0.0000 -1.6628 5.8997
Ce Pr C
1 1 1
Direct
0.0000 0.0000 0.0000 Ce
0.5000 0.2360 0.2360 Pr
0.5000 0.5602 0.5602 C
```

Its total moment is 0.00 μB/atom. For the density of states at the Fermi level, the calculation gives 3.67 states/eV per cell. Its volume is 23.25 Å³/atom.



Arrangement ii

The following is a DFT calculation (GGA-PBE) of a geometry-optimized CePrC structure.

Geometry as POSCAR:
```
CePrC
1.0
6.4207 -1.7370 0.0000
6.4207 1.7370 0.0000
-3.7850 0.0000 15.6081
Ce Pr C
5 5 5
Direct
0.0000 0.0000 0.0000 Ce
0.1116 0.1116 0.1829 Ce
0.3893 0.3893 0.5920 Ce
0.5140 0.5140 0.8133 Ce
0.9062 0.9062 0.4075 Ce
0.1388 0.1388 0.5850 Pr
0.1719 0.1719 0.3894 Pr
0.3508 0.3508 0.2180 Pr
0.7402 0.7402 0.0003 Pr
0.7719 0.7719 0.8142 Pr
0.1212 0.1212 0.8970 C
0.3927 0.3927 0.9111 C
0.5115 0.5115 0.4971 C
0.7262 0.7262 0.2764 C
0.7837 0.7837 0.5100 C
```

Its total moment is 0.07 μB/atom. For the density of states at the Fermi level, the calculation gives 19.81 states/eV per cell. Its volume is 23.21 Å³/atom.



Arrangement iii

The following is a DFT calculation (GGA-PBE) of a geometry-optimized CePrC structure.

Geometry as POSCAR:
```
CePrC
1.0
-1.6228 1.6228 6.2601
1.6228 -1.6228 6.2601
1.6228 1.6228 -6.2601
Ce Pr C
1 1 1
Direct
0.0000 0.0000 0.0000 Ce
0.2285 0.2285 0.0000 Pr
0.6005 0.6005 0.0000 C
```

Its total moment is 0.00 μB/atom. For the density of states at the Fermi level, the calculation gives 4.72 states/eV per cell. Its volume is 21.98 Å³/atom.



Arrangement iv

The following is a DFT calculation (GGA-PBE) of a geometry-optimized CePrC structure.

Geometry as POSCAR:
```
CePrC
1.0
0.0000 3.1493 3.1493
3.1493 0.0000 3.1493
3.1493 3.1493 0.0000
Ce Pr C
1 1 1
Direct
0.0000 0.0000 0.0000 Ce
0.5000 0.5000 0.5000 Pr
0.2500 0.2500 0.2500 C
```

Its total moment is 0.00 μB/atom. For the density of states at the Fermi level, the calculation gives 3.72 states/eV per cell. Its volume is 20.82 Å³/atom.



Name the least stable of them. arrangement iii.